Entry 1:
# LaHo8Er6, relaxed, DFT PBE
data_LaHo8Er6
_cell_length_a 9.4071
_cell_length_b 9.4071
_cell_length_c 6.4249
_cell_angle_alpha 90.00
_cell_angle_beta 90.00
_cell_angle_gamma 120.00
_symmetry_space_group_name_H-M 'P -3'
_symmetry_Int_Tables_number 147
_symmetry_space_group_name_Hall '-P 3'
loop_
_atom_site_label
_atom_site_type_symbol
_atom_site_fract_x
_atom_site_fract_y
_atom_site_fract_z
La1 La 0.0000 0.0000 0.0000
Ho1 Ho 0.0254 0.6858 0.4085
Ho2 Ho 0.3333 0.6667 0.6656
Er1 Er 0.1004 0.4196 0.0890
# energy above the most stable polymorph in this dataset: 8.0 kJ/mol of atoms
# ΔH_f (0 K): 0.223 eV/atom
# spin magnetization: 0.00 μB per formula unit

---

Entry 2:
# Ac4YAg5, relaxed, DFT PBE
data_Ac4YAg5
_cell_length_a 3.878
_cell_length_b 3.878
_cell_length_c 19.713
_cell_angle_alpha 90.00
_cell_angle_beta 90.00
_cell_angle_gamma 90.00
_symmetry_space_group_name_H-M 'P 4/m m m'
_symmetry_Int_Tables_number 123
_symmetry_space_group_name_Hall '-P 4 2'
loop_
_atom_site_label
_atom_site_type_symbol
_atom_site_fract_x
_atom_site_fract_y
_atom_site_fract_z
Ac1 Ac 0.000 0.000 0.103
Ac2 Ac 0.000 0.000 0.309
Y1 Y 0.000 0.000 0.500
Ag1 Ag 0.500 0.500 0.000
Ag2 Ag 0.500 0.500 0.206
Ag3 Ag 0.500 0.500 0.418
# ΔH_f (0 K): -0.264 eV/atom
# spin magnetization: 0.00 μB per formula unit